# 1
# AcLa2In2Ag2 GGA-PBE optimized geometry
data_AcLa2In2Ag2
_space_group_name_H-M_alt 'P 1'
_space_group_IT_number 1
_space_group_name_Hall 'P 1'
_cell_length_a 10.0808
_cell_length_b 10.0808
_cell_length_c 10.0808
_cell_angle_alpha 28.58
_cell_angle_beta 28.58
_cell_angle_gamma 28.58
loop_
_atom_site_label
_atom_site_fract_x
_atom_site_fract_y
_atom_site_fract_z
Ac1 0.0000 0.0000 0.0000
La1 0.1296 0.1296 0.1296
La2 0.8704 0.8704 0.8704
In1 0.2572 0.2572 0.2572
In2 0.7428 0.7428 0.7428
Ag1 0.4055 0.4055 0.4055
Ag2 0.5945 0.5945 0.5945
# E ... -3.9361 eV/atom
# DOS at the Fermi energy ... 5.03 states/eV per cell

***

# 2
# BeFeCo GGA-PBE optimized geometry
data_BeFeCo
_space_group_name_H-M_alt 'P 1'
_space_group_IT_number 1
_space_group_name_Hall 'P 1'
_cell_length_a 2.7183
_cell_length_b 11.3535
_cell_length_c 3.7759
_cell_angle_alpha 90.00
_cell_angle_beta 90.00
_cell_angle_gamma 90.00
loop_
_atom_site_label
_atom_site_fract_x
_atom_site_fract_y
_atom_site_fract_z
Be1 0.0000 0.0833 0.2500
Be2 0.0000 0.9167 0.7500
Be3 0.5000 0.4167 0.7500
Be4 0.5000 0.5833 0.2500
Fe1 0.0000 0.2508 0.7500
Fe2 0.0000 0.7492 0.2500
Fe3 0.5000 0.2492 0.2500
Fe4 0.5000 0.7508 0.7500
Co1 0.0000 0.4223 0.2500
Co2 0.0000 0.5777 0.7500
Co3 0.5000 0.0777 0.7500
Co4 0.5000 0.9223 0.2500
# E ... -6.5609 eV/atom
# DOS at the Fermi energy ... 11.78 states/eV per cell

***

# 3
# AcO2F4 GGA-PBE optimized geometry
data_AcO2F4
_space_group_name_H-M_alt 'P 1'
_space_group_IT_number 1
_space_group_name_Hall 'P 1'
_cell_length_a 12.6692
_cell_length_b 4.3034
_cell_length_c 4.3191
_cell_angle_alpha 90.00
_cell_angle_beta 108.07
_cell_angle_gamma 90.00
loop_
_atom_site_label
_atom_site_fract_x
_atom_site_fract_y
_atom_site_fract_z
Ac1 0.0000 0.0000 0.0000
Ac2 0.5000 0.5000 0.0000
O1 0.1903 0.5000 0.7205
O2 0.3097 0.0000 0.2795
O3 0.6903 0.0000 0.7205
O4 0.8097 0.5000 0.2795
F1 0.1103 0.5000 0.0894
F2 0.1107 0.0000 0.5983
F3 0.3893 0.5000 0.4017
F4 0.3897 0.0000 0.9106
F5 0.6103 0.0000 0.0894
F6 0.6107 0.5000 0.5983
F7 0.8893 0.0000 0.4017
F8 0.8897 0.5000 0.9106
# E ... -4.6933 eV/atom
# ΔE_f (raw) ... -11.34 eV/f.u.
# DOS at the Fermi energy ... 7.73 states/eV per cell

***

# 4
# K2BaCr GGA-PBE optimized geometry
data_K2BaCr
_space_group_name_H-M_alt 'P 1'
_space_group_IT_number 1
_space_group_name_Hall 'P 1'
_cell_length_a 4.3004
_cell_length_b 4.3004
_cell_length_c 11.5072
_cell_angle_alpha 90.00
_cell_angle_beta 90.00
_cell_angle_gamma 90.00
loop_
_atom_site_label
_atom_site_fract_x
_atom_site_fract_y
_atom_site_fract_z
K1 0.0000 0.0000 0.0000
K2 0.5000 0.5000 0.3209
Ba1 0.0000 0.0000 0.6348
Cr1 0.5000 0.5000 0.7984
# E ... -2.9015 eV/atom
# DOS at the Fermi energy ... 4.29 states/eV per cell

***

# 5
# Tb2Y5Er6 GGA-PBE optimized geometry
data_Tb2Y5Er6
_space_group_name_H-M_alt 'P 1'
_space_group_IT_number 1
_space_group_name_Hall 'P 1'
_cell_length_a 11.5707
_cell_length_b 20.1688
_cell_length_c 3.5689
_cell_angle_alpha 90.00
_cell_angle_beta 90.00
_cell_angle_gamma 90.00
loop_
_atom_site_label
_atom_site_fract_x
_atom_site_fract_y
_atom_site_fract_z
Tb1 0.1676 0.2107 0.0000
Tb2 0.3324 0.7107 0.0000
Tb3 0.6676 0.2893 0.0000
Tb4 0.8324 0.7893 0.0000
Y1 0.0000 0.5000 0.5000
Y2 0.0894 0.7740 0.5000
Y3 0.1979 0.0506 0.5000
Y4 0.3021 0.5506 0.5000
Y5 0.4106 0.2740 0.5000
Y6 0.5000 0.0000 0.5000
Y7 0.5894 0.7260 0.5000
Y8 0.6979 0.4494 0.5000
Y9 0.8021 0.9494 0.5000
Y10 0.9106 0.2260 0.5000
Er1 0.0607 0.9197 0.0000
Er2 0.0826 0.6320 0.0000
Er3 0.1725 0.3648 0.5000
Er4 0.3275 0.8648 0.5000
Er5 0.4174 0.1320 0.0000
Er6 0.4393 0.4197 0.0000
Er7 0.5607 0.5803 0.0000
Er8 0.5826 0.8680 0.0000
Er9 0.6725 0.1352 0.5000
Er10 0.8275 0.6352 0.5000
Er11 0.9174 0.3680 0.0000
Er12 0.9393 0.0803 0.0000
# E ... -5.2031 eV/atom
# DOS at the Fermi energy ... 33.46 states/eV per cell

***

- Which value of E does entry 5 give?
  -5.2031 eV/atom

***

Please write out number 3 again, unchanged.
# AcO2F4 GGA-PBE optimized geometry
data_AcO2F4
_space_group_name_H-M_alt 'P 1'
_space_group_IT_number 1
_space_group_name_Hall 'P 1'
_cell_length_a 12.6692
_cell_length_b 4.3034
_cell_length_c 4.3191
_cell_angle_alpha 90.00
_cell_angle_beta 108.07
_cell_angle_gamma 90.00
loop_
_atom_site_label
_atom_site_fract_x
_atom_site_fract_y
_atom_site_fract_z
Ac1 0.0000 0.0000 0.0000
Ac2 0.5000 0.5000 0.0000
O1 0.1903 0.5000 0.7205
O2 0.3097 0.0000 0.2795
O3 0.6903 0.0000 0.7205
O4 0.8097 0.5000 0.2795
F1 0.1103 0.5000 0.0894
F2 0.1107 0.0000 0.5983
F3 0.3893 0.5000 0.4017
F4 0.3897 0.0000 0.9106
F5 0.6103 0.0000 0.0894
F6 0.6107 0.5000 0.5983
F7 0.8893 0.0000 0.4017
F8 0.8897 0.5000 0.9106
# E ... -4.6933 eV/atom
# ΔE_f (raw) ... -11.34 eV/f.u.
# DOS at the Fermi energy ... 7.73 states/eV per cell

***

- What is the formula in the fifth record?
  Tb2Y5Er6

***

- Which of these has the highest DOS at the Fermi energy?
  Tb2Y5Er6